Entry A
VASP calculation (PBE) on crystalline ZrTa2TiN at its relaxed geometry.

a = 4.237 Å, b = 4.237 Å, c = 4.593 Å
α = 90.00°, β = 90.00°, γ = 90.00°
Fractional coordinates of all 5 atoms:
Ta: 0.000 0.500 0.000
Ta: 0.500 0.000 0.000
Zr: 0.000 0.000 0.500
N: 0.000 0.000 0.000
Ti: 0.500 0.500 0.500

total magnetization	0.0	μB/cell
Fermi-level density of states	0.773	states/eV per atom

***

Entry B
VASP calculation (PBE) on crystalline ZrTa2TiN at its relaxed geometry.

a = 4.397 Å, b = 4.397 Å, c = 4.131 Å
α = 90.00°, β = 90.00°, γ = 90.00°
Fractional coordinates of all 5 atoms:
Ta: 0.500 0.000 0.000
Ta: 0.000 0.500 0.000
Ti: 0.000 0.000 0.500
N: 0.000 0.000 0.000
Zr: 0.500 0.500 0.500

total magnetization	0.0	μB/cell
Fermi-level density of states	0.904	states/eV per atom

***

The energetic minimum among the shown structures is entry B; the next structure lies 21 meV/atom above.